The following is a PBE calculation of a geometry-optimized CoPW4C2 structure, from OQMD via LeMat-Bulk.

Lattice parameters (Å, degrees): 3.0927 3.0927 12.1735 90.00 90.00 120.00
Space group P-6m2 (No. 187)
Unique sites:
Co: 0.0000 0.0000 0.0000 x1
P: 0.3333 0.6667 0.5000 x1
W: 0.0000 0.0000 0.3513 x2
W: 0.3333 0.6667 0.1582 x2
C: 0.6667 0.3333 0.2513 x2

Magnetization, μB per formula unit: 0.9
Raw total energy, eV per cell: -81.5
Calculated volume, Å³/cell: 100.8

***

The following is a PBE calculation of a geometry-optimized Y4CoPC2 structure, from OQMD via LeMat-Bulk.

Lattice parameters (Å, degrees): 3.6411 3.6411 13.5454 90.00 90.00 120.00
Space group P-6m2 (No. 187)
Unique sites:
Y: 0.0000 0.0000 0.1445 x2
Y: 0.6667 0.3333 0.3478 x2
Co: 0.0000 0.0000 0.5000 x1
P: 0.6667 0.3333 0.0000 x1
C: 0.3333 0.6667 0.2490 x2

Magnetization, μB per formula unit: 1.2
Excess energy over the best structure of this formula in the dataset, eV per atom: 0.000
Raw total energy, eV per cell: -59.4
Calculated volume, Å³/cell: 155.5

***

The following is a PBE calculation of a geometry-optimized Y4CoPC2 structure, from OQMD via LeMat-Bulk.

Lattice parameters (Å, degrees): 3.6202 3.6202 13.5824 90.00 90.00 120.00
Space group P-6m2 (No. 187)
Unique sites:
Y: 0.0000 0.0000 0.1475 x2
Y: 0.3333 0.6667 0.3507 x2
Co: 0.0000 0.0000 0.5000 x1
P: 0.3333 0.6667 0.0000 x1
C: 0.6667 0.3333 0.2500 x2

Magnetization, μB per formula unit: 1.1
Excess energy over the best structure of this formula in the dataset, eV per atom: 0.003
Raw total energy, eV per cell: -59.4
Calculated volume, Å³/cell: 154.2

***

The following is a PBE calculation of a geometry-optimized PaCoC structure, from OQMD via LeMat-Bulk.

Lattice parameters (Å, degrees): 3.5321 5.1137 4.8129 90.00 102.61 90.00
Space group P2_1/m (No. 11)
Unique sites:
Pa: 0.1746 0.2500 0.2810 x2
Co: 0.3729 0.2500 0.8473 x2
C: 0.1791 0.7500 0.3292 x2

Magnetization, μB per formula unit: 0.0
Raw total energy, eV per cell: -53.8
Calculated volume, Å³/cell: 84.8

***

The following is a PBE calculation of a geometry-optimized Co4PbC2S structure, from OQMD via LeMat-Bulk.

Lattice parameters (Å, degrees): 3.0785 3.0785 11.6612 90.00 90.00 120.00
Space group P-6m2 (No. 187)
Unique sites:
Co: 0.0000 0.0000 0.1335 x2
Co: 0.6667 0.3333 0.2826 x2
Pb: 0.0000 0.0000 0.5000 x1
C: 0.3333 0.6667 0.2218 x2
S: 0.6667 0.3333 0.0000 x1

Magnetization, μB per formula unit: 0.0
Raw total energy, eV per cell: -52.5
Calculated volume, Å³/cell: 95.7

***

The following is a PBE calculation of a geometry-optimized Co4PbC2Se structure, from OQMD via LeMat-Bulk.

Lattice parameters (Å, degrees): 3.0729 3.0729 12.1245 90.00 90.00 120.00
Space group P-6m2 (No. 187)
Unique sites:
Co: 0.0000 0.0000 0.1557 x2
Co: 0.3333 0.6667 0.2969 x2
Pb: 0.0000 0.0000 0.5000 x1
C: 0.6667 0.3333 0.2330 x2
Se: 0.3333 0.6667 0.0000 x1

Magnetization, μB per formula unit: 0.0
Raw total energy, eV per cell: -51.6
Calculated volume, Å³/cell: 99.1